(1)
LaCuRe2 | PBE-GGA | relaxed

a = 6.592 Å, b = 6.592 Å, c = 6.592 Å
α = 90.00°, β = 90.00°, γ = 90.00°
Space group F-43m (No. 216)
Asymmetric unit:
La1 0.000 0.000 0.000 [4 per cell]
Cu1 0.250 0.250 0.750 [4 per cell]
Re1 0.000 0.000 0.500 [4 per cell]
Re2 0.250 0.250 0.250 [4 per cell]

Properties
- M_tot (μB/atom) = 0.00
- uncorrected energy (eV/atom) = -7.89
- calculated formation energy (eV/atom) = 0.586
- mass density (kg/m³) = 13327


(2)
Cs5SiSe4Br2 | PBE-GGA | relaxed

a = 10.753 Å, b = 11.862 Å, c = 8.678 Å
α = 90.00°, β = 90.00°, γ = 90.00°
Space group Amm2 (No. 38)
Asymmetric unit:
Cs1 0.000 0.000 0.000 [2 per cell]
Cs2 0.267 0.200 0.472 [8 per cell]
Si1 0.500 0.000 0.982 [2 per cell]
Se1 0.324 0.000 0.126 [4 per cell]
Se2 0.500 0.131 0.782 [4 per cell]
Br1 0.000 0.231 0.725 [4 per cell]

Properties
- M_tot (μB/atom) = 0.09
- uncorrected energy (eV/atom) = -3.44
- raw formation energy (eV/atom) = -1.191
- mass density (kg/m³) = 3505


(3)
Ga2Ag2Bi | PBE-GGA | relaxed

a = 8.162 Å, b = 8.162 Å, c = 3.157 Å
α = 90.00°, β = 90.00°, γ = 90.00°
Space group P4/mbm (No. 127)
Asymmetric unit:
Ga1 0.117 0.383 0.000 [4 per cell]
Ag1 0.181 0.681 0.500 [4 per cell]
Bi1 0.000 0.000 0.000 [2 per cell]

Properties
- M_tot (μB/atom) = 0.00
- uncorrected energy (eV/atom) = -3.02
- calculated formation energy (eV/atom) = 0.106
- mass density (kg/m³) = 8909


(4)
Sc2OsCl | PBE-GGA | relaxed

a = 3.281 Å, b = 3.198 Å, c = 7.564 Å
α = 90.00°, β = 90.09°, γ = 90.00°
Space group P2/m (No. 10)
Asymmetric unit:
Sc1 0.001 0.000 0.206 [2 per cell]
Os1 0.500 0.500 0.000 [1 per cell]
Cl1 0.000 0.500 0.500 [1 per cell]

Properties
- M_tot (μB/atom) = 0.00
- uncorrected energy (eV/atom) = -7.38
- raw formation energy (eV/atom) = -0.944
- mass density (kg/m³) = 6602